PBE+U BiMoO2F, optimized geometry; total energy = -5.75 eV/atom; calculated density = 7.9 g/cm³; space-group type = P4/mmm, No. 123
1.0
4.234 0.000 0.000
0.000 4.234 0.000
0.000 0.000 4.170
Bi Mo O F
1 1 2 1
direct
0.000 0.000 0.000 Bi
0.500 0.500 0.500 Mo
0.000 0.500 0.500 O
0.500 0.000 0.500 O
0.500 0.500 0.000 F